Entry 1:
# FeAgPt2

A relaxed structure of FeAgPt2 (PBE, the Alexandria database).

a b c (Å): 4.006 4.006 7.666
angles (deg): 90.00 90.00 90.00
Space group I4/mmm (No. 139)
Symmetry-distinct sites (fractional):
Fe: 0.000 0.000 0.000 (multiplicity 2)
Ag: 0.000 0.000 0.500 (multiplicity 2)
Pt: 0.000 0.500 0.250 (multiplicity 4)

Computed properties:
N(E_F) (states/eV/atom): 0.5350
ΔE_f (meV per atom): -55
Uncorrected energy (eV/cell): -47.23


Entry 2:
# Li2PrCuPd4

A relaxed structure of Li2PrCuPd4 (PBE, the Alexandria database).

a b c (Å): 4.3125 4.3125 24.9389
angles (deg): 90.00 90.00 120.00
Space group R-3m (No. 166, hexagonal axes)
Symmetry-distinct sites (fractional):
Li: 0.0000 0.0000 0.2320 (multiplicity 6)
Pr: 0.0000 0.0000 0.0000 (multiplicity 3)
Cu: 0.0000 0.0000 0.5000 (multiplicity 3)
Pd: 0.0000 0.0000 0.1279 (multiplicity 6)
Pd: 0.0000 0.0000 0.3984 (multiplicity 6)

Computed properties:
N(E_F) (states/eV/atom): 0.1462
ΔE_f (meV per atom): -464
Uncorrected energy (eV/cell): -111.57


Entry 3:
# LuHf2Fe

A relaxed structure of LuHf2Fe (PBE, the Alexandria database).

a b c (Å): 3.216 3.216 7.962
angles (deg): 90.00 90.00 90.00
Space group P4/mmm (No. 123)
Symmetry-distinct sites (fractional):
Lu: 0.000 0.000 0.000 (multiplicity 1)
Hf: 0.500 0.500 0.310 (multiplicity 2)
Fe: 0.000 0.000 0.500 (multiplicity 1)

Computed properties:
N(E_F) (states/eV/atom): 1.4975
ΔE_f (meV per atom): 9
Uncorrected energy (eV/cell): -32.86


Entry 4:
# Tb2DyYSe6

A relaxed structure of Tb2DyYSe6 (PBE, the Alexandria database).

a b c (Å): 7.2258 7.2258 19.4846
angles (deg): 90.00 90.00 120.00
Space group R3 (No. 146, hexagonal axes)
Symmetry-distinct sites (fractional):
Tb: 0.0000 0.0000 0.0000 (multiplicity 3)
Tb: 0.0000 0.0000 0.4999 (multiplicity 3)
Dy: 0.0000 0.0000 0.1965 (multiplicity 3)
Y: 0.0000 0.0000 0.6964 (multiplicity 3)
Se: 0.0302 0.3615 0.7655 (multiplicity 9)
Se: 0.0297 0.6687 0.2652 (multiplicity 9)

Computed properties:
N(E_F) (states/eV/atom): 0.0000
Uncorrected energy (eV/cell): -179.44


Entry 5:
# Er2ZrGa3

A relaxed structure of Er2ZrGa3 (PBE, the Alexandria database).

a b c (Å): 4.671 13.882 3.891
angles (deg): 90.00 90.00 90.00
Space group Cmmm (No. 65)
Symmetry-distinct sites (fractional):
Er: 0.000 0.167 0.000 (multiplicity 4)
Zr: 0.000 0.500 0.000 (multiplicity 2)
Ga: 0.000 0.000 0.500 (multiplicity 2)
Ga: 0.000 0.341 0.500 (multiplicity 4)

Computed properties:
N(E_F) (states/eV/atom): 0.6498
ΔE_f (meV per atom): -506
Uncorrected energy (eV/cell): -59.58


Entry 6:
# Os3RhF

A relaxed structure of Os3RhF (PBE, the Alexandria database).

a b c (Å): 4.752 4.752 4.752
angles (deg): 90.00 90.00 90.00
Space group Pm-3m (No. 221)
Symmetry-distinct sites (fractional):
Os: 0.000 0.000 0.500 (multiplicity 3)
Rh: 0.000 0.000 0.000 (multiplicity 1)
F: 0.500 0.500 0.500 (multiplicity 1)

Computed properties:
N(E_F) (states/eV/atom): 1.6792
Uncorrected energy (eV/cell): -30.23


Entry 7:
# CdOsSe3

A relaxed structure of CdOsSe3 (PBE, the Alexandria database).

a b c (Å): 4.946 4.946 4.946
angles (deg): 90.00 90.00 90.00
Space group Pm-3m (No. 221)
Symmetry-distinct sites (fractional):
Cd: 0.000 0.000 0.000 (multiplicity 1)
Os: 0.500 0.500 0.500 (multiplicity 1)
Se: 0.000 0.500 0.500 (multiplicity 3)

Computed properties:
N(E_F) (states/eV/atom): 1.5781
Uncorrected energy (eV/cell): -20.09


Entry 8:
# Ce2PO

A relaxed structure of Ce2PO (PBE, the Alexandria database).

a b c (Å): 3.7139 3.7139 20.1700
angles (deg): 90.00 90.00 120.00
Space group R3m (No. 160, hexagonal axes)
Symmetry-distinct sites (fractional):
Ce: 0.0000 0.0000 0.0000 (multiplicity 3)
Ce: 0.0000 0.0000 0.1583 (multiplicity 3)
P: 0.0000 0.0000 0.5793 (multiplicity 3)
O: 0.0000 0.0000 0.4059 (multiplicity 3)

Computed properties:
N(E_F) (states/eV/atom): 1.9983
Uncorrected energy (eV/cell): -89.23


uncorrected energy of number 5 (Er2ZrGa3)?
-59.58 eV/cell